Record 1
The following is a PBE calculation of a relaxed BeCoIr2 crystal, from Alexandria via LeMat-Bulk.

Summary:
The calculation puts the magnetization at 1.285 μB per formula unit. The space group is P4mm (99). As for the energy of formation from the pure elements: -16.8 kJ/mol of atoms. The value obtained for the total DFT energy (no corrections) is -29.2 eV/cell.

Lattice parameters (Å, degrees): 2.7363 2.7363 6.3407 90.00 90.00 90.00
Last column: nearest neighbours and their distance in Å.
Positions (direct):
Ir 0.5000 0.5000 0.2891  4 Be 2.40, 1 Co 2.69
Ir 0.0000 0.0000 0.9835  4 Co 2.58, 8 Ir 2.74
Be 0.0000 0.0000 0.5142  4 Co 2.31, 4 Ir 2.40
Co 0.5000 0.5000 0.7133  4 Be 2.31, 4 Ir 2.58

***

Record 2
The following is a PBE calculation of a relaxed Be2CoIr crystal, from Alexandria via LeMat-Bulk.

Summary:
The calculation puts the magnetization at 0.423 μB per formula unit. The space group is R-3m (166). As for the energy of formation from the pure elements: -11.0 kJ/mol of atoms. The calculation puts the relative energy among the computed polymorphs at 0.349 eV per atom. The value obtained for the total DFT energy (no corrections) is -23.9 eV/cell.

Lattice parameters (Å, degrees): 7.1645 7.1645 7.1645 21.47 21.47 21.47
Last column: nearest neighbours and their distance in Å.
Positions (direct):
Co 0.2500 0.2500 0.2500  6 Be 2.28
Be 0.5035 0.5035 0.5035  3 Co 2.28, 3 Ir 2.39
Be 0.9965 0.9965 0.9965  3 Co 2.28, 3 Ir 2.39
Ir 0.7500 0.7500 0.7500  6 Be 2.39, 6 Ir 2.67

***

Record 3
The following is a PBE calculation of a relaxed BeCoIr2 crystal, from Alexandria via LeMat-Bulk.

Summary:
The calculation puts the magnetization at 2.075 μB per formula unit. The space group is P4/mmm (123). As for the energy of formation from the pure elements: -20.3 kJ/mol of atoms. The value obtained for the total DFT energy (no corrections) is -29.4 eV/cell.

Lattice parameters (Å, degrees): 2.7900 2.7900 6.1451 90.00 90.00 90.00
Last column: nearest neighbours and their distance in Å.
Positions (direct):
Ir 0.0000 0.0000 0.0245  4 Be 2.41, 4 Co 2.60
Ir 0.0000 0.0000 0.4755  4 Be 2.41, 4 Co 2.60
Co 0.5000 0.5000 0.7500  8 Ir 2.60, 4 Co 2.79
Be 0.5000 0.5000 0.2500  8 Ir 2.41